No. 1
{
  "formula": "TlZnCu2Cl6",
  "functional": "GGA-PBE",
  "state": "relaxed",
  "lattice_angstrom": [[7.901, 0.288, 0.299], [2.869, 8.653, 0.457], [2.869, 0.136, 8.664]],
  "species": ["Cu", "Cu", "Cu", "Cu", "Zn", "Zn", "Cl", "Cl", "Cl", "Cl", "Cl", "Cl", "Cl", "Cl", "Cl", "Cl", "Cl", "Cl", "Tl", "Tl"],
  "fractional_positions": [[0.654, 0.250, 0.354], [0.154, 0.354, 0.250], [0.846, 0.646, 0.750], [0.346, 0.750, 0.646], [0.750, 0.821, 0.179], [0.250, 0.179, 0.821], [0.981, 0.387, 0.847], [0.321, 0.174, 0.049], [0.179, 0.951, 0.826], [0.597, 0.595, 0.720], [0.821, 0.049, 0.174], [0.097, 0.720, 0.595], [0.403, 0.405, 0.280], [0.519, 0.153, 0.613], [0.019, 0.613, 0.153], [0.679, 0.826, 0.951], [0.481, 0.847, 0.387], [0.903, 0.280, 0.405], [0.750, 0.183, 0.817], [0.250, 0.817, 0.183]],
  "raw_formation_energy_ev_per_atom": -0.769
}

***

No. 2
{
  "formula": "TlZnCuCl4",
  "functional": "GGA-PBE",
  "state": "relaxed",
  "lattice_angstrom": [[6.158, 0.000, 0.469], [0.000, 9.184, 0.000], [-1.794, 0.000, 7.891]],
  "species": ["Cl", "Cl", "Cl", "Cl", "Cl", "Cl", "Cl", "Cl", "Tl", "Tl", "Zn", "Zn", "Cu", "Cu"],
  "fractional_positions": [[0.613, 0.250, 0.989], [0.524, 0.750, 0.494], [0.993, 0.065, 0.736], [0.007, 0.935, 0.264], [0.387, 0.750, 0.011], [0.476, 0.250, 0.506], [0.007, 0.565, 0.264], [0.993, 0.435, 0.736], [0.860, 0.750, 0.885], [0.140, 0.250, 0.115], [0.732, 0.250, 0.740], [0.268, 0.750, 0.260], [0.796, 0.750, 0.351], [0.204, 0.250, 0.649]],
  "raw_formation_energy_ev_per_atom": -0.879
}

***

No. 3
{
  "formula": "TlZn2CuCl6",
  "functional": "GGA-PBE",
  "state": "relaxed",
  "lattice_angstrom": [[-2.690, -6.079, 0.971], [7.534, -4.942, 3.947], [-4.543, 1.154, 8.649]],
  "species": ["Cu", "Cu", "Tl", "Tl", "Zn", "Zn", "Zn", "Zn", "Cl", "Cl", "Cl", "Cl", "Cl", "Cl", "Cl", "Cl", "Cl", "Cl", "Cl", "Cl"],
  "fractional_positions": [[0.250, 0.306, 0.694], [0.750, 0.694, 0.306], [0.750, 0.112, 0.888], [0.250, 0.888, 0.112], [0.309, 0.762, 0.628], [0.191, 0.372, 0.238], [0.809, 0.628, 0.762], [0.691, 0.238, 0.372], [0.779, 0.058, 0.203], [0.477, 0.428, 0.309], [0.964, 0.415, 0.828], [0.221, 0.942, 0.797], [0.464, 0.828, 0.415], [0.036, 0.585, 0.172], [0.536, 0.172, 0.585], [0.523, 0.572, 0.691], [0.977, 0.309, 0.428], [0.721, 0.797, 0.942], [0.023, 0.691, 0.572], [0.279, 0.203, 0.058]],
  "raw_formation_energy_ev_per_atom": -0.968
}

***

No. 4
{
  "formula": "ZrTlCu2Cl8",
  "functional": "GGA-PBE",
  "state": "relaxed",
  "lattice_angstrom": [[6.281, -0.375, 0.252], [-0.467, 6.798, 1.536], [0.198, 2.099, 8.854]],
  "species": ["Cl", "Cl", "Cl", "Cl", "Cl", "Cl", "Cl", "Cl", "Zr", "Cu", "Cu", "Tl"],
  "fractional_positions": [[0.147, 0.806, 0.861], [0.520, 0.714, 0.544], [0.480, 0.286, 0.456], [0.648, 0.748, 0.068], [0.124, 0.750, 0.268], [0.853, 0.194, 0.139], [0.876, 0.250, 0.732], [0.352, 0.252, 0.932], [0.000, 0.000, 0.000], [0.507, 0.344, 0.677], [0.493, 0.656, 0.323], [0.000, 0.000, 0.500]],
  "raw_formation_energy_ev_per_atom": -1.125
}

***

No. 5
{
  "formula": "ZrTlCuCl6",
  "functional": "GGA-PBE",
  "state": "relaxed",
  "lattice_angstrom": [[6.601, 0.000, 0.000], [-3.301, 5.717, 0.000], [0.000, 0.000, 14.249]],
  "species": ["Cu", "Cu", "Cl", "Cl", "Cl", "Cl", "Cl", "Cl", "Cl", "Cl", "Cl", "Cl", "Cl", "Cl", "Tl", "Tl", "Zr", "Zr"],
  "fractional_positions": [[0.667, 0.333, 0.750], [0.333, 0.667, 0.250], [0.370, 0.993, 0.649], [0.007, 0.376, 0.649], [0.993, 0.624, 0.351], [0.370, 0.376, 0.851], [0.630, 0.007, 0.351], [0.376, 0.007, 0.149], [0.993, 0.370, 0.149], [0.624, 0.630, 0.649], [0.624, 0.993, 0.851], [0.376, 0.370, 0.351], [0.007, 0.630, 0.851], [0.630, 0.624, 0.149], [0.000, 0.000, 0.500], [0.000, 0.000, 0.000], [0.667, 0.333, 0.250], [0.333, 0.667, 0.750]],
  "raw_formation_energy_ev_per_atom": -1.297
}

***

No. 6
{
  "formula": "TmCuCl4",
  "functional": "GGA-PBE",
  "state": "relaxed",
  "lattice_angstrom": [[6.408, 0.000, 0.000], [0.000, 6.311, 0.000], [0.000, 0.000, 8.337]],
  "species": ["Cu", "Cu", "Tm", "Tm", "Cl", "Cl", "Cl", "Cl", "Cl", "Cl", "Cl", "Cl"],
  "fractional_positions": [[0.500, 0.000, 0.500], [0.000, 0.000, 0.000], [0.000, 0.000, 0.500], [0.000, 0.500, 0.000], [0.732, 0.235, 0.371], [0.268, 0.765, 0.371], [0.732, 0.765, 0.629], [0.268, 0.235, 0.629], [0.785, 0.768, 0.146], [0.215, 0.768, 0.854], [0.785, 0.232, 0.854], [0.215, 0.232, 0.146]],
  "raw_formation_energy_ev_per_atom": -1.533,
  "relative_energy_ev_per_atom": 0.098
}

***

No. 7
{
  "formula": "TmCu2Cl6",
  "functional": "GGA-PBE",
  "state": "relaxed",
  "lattice_angstrom": [[6.471, -0.097, 1.584], [2.062, 8.827, 0.754], [-0.109, 0.179, 9.094]],
  "species": ["Cu", "Cu", "Cu", "Cu", "Cl", "Cl", "Cl", "Cl", "Cl", "Cl", "Cl", "Cl", "Cl", "Cl", "Cl", "Cl", "Tm", "Tm"],
  "fractional_positions": [[0.353, 0.490, 0.670], [0.853, 0.670, 0.490], [0.147, 0.330, 0.510], [0.647, 0.510, 0.330], [0.513, 0.319, 0.458], [0.360, 0.053, 0.178], [0.013, 0.458, 0.319], [0.487, 0.681, 0.542], [0.356, 0.350, 0.886], [0.987, 0.542, 0.681], [0.860, 0.178, 0.053], [0.856, 0.886, 0.350], [0.644, 0.650, 0.114], [0.144, 0.114, 0.650], [0.640, 0.947, 0.822], [0.140, 0.822, 0.947], [0.750, 0.912, 0.088], [0.250, 0.088, 0.912]],
  "raw_formation_energy_ev_per_atom": -1.265
}

***

No. 8
{
  "formula": "TmCu2Cl8",
  "functional": "GGA-PBE",
  "state": "relaxed",
  "lattice_angstrom": [[6.651, 0.000, 0.000], [0.000, 6.651, 0.000], [-3.326, -3.326, 5.856]],
  "species": ["Cl", "Cl", "Cl", "Cl", "Cl", "Cl", "Cl", "Cl", "Cu", "Cu", "Tm"],
  "fractional_positions": [[0.549, 0.702, 0.766], [0.451, 0.936, 0.234], [0.064, 0.549, 0.766], [0.936, 0.783, 0.234], [0.783, 0.298, 0.234], [0.702, 0.217, 0.766], [0.298, 0.451, 0.234], [0.217, 0.064, 0.766], [0.250, 0.750, 0.500], [0.750, 0.250, 0.500], [0.500, 0.500, 0.000]],
  "raw_formation_energy_ev_per_atom": -0.987
}

***

No. 9
{
  "formula": "TmCuCl4",
  "functional": "GGA-PBE",
  "state": "relaxed",
  "lattice_angstrom": [[6.570, -0.422, -1.390], [-2.960, 6.417, -1.665], [-0.054, -0.258, 8.975]],
  "species": ["Cl", "Cl", "Cl", "Cl", "Cl", "Cl", "Cl", "Cl", "Tm", "Tm", "Cu", "Cu"],
  "fractional_positions": [[0.980, 0.174, 0.905], [0.170, 0.401, 0.371], [0.575, 0.269, 0.095], [0.299, 0.030, 0.629], [0.830, 0.599, 0.629], [0.701, 0.970, 0.371], [0.020, 0.826, 0.095], [0.425, 0.731, 0.905], [0.186, 0.936, 0.871], [0.814, 0.064, 0.129], [0.576, 0.326, 0.653], [0.424, 0.674, 0.347]],
  "raw_formation_energy_ev_per_atom": -1.631,
  "relative_energy_ev_per_atom": 0.000
}

***

No. 10
{
  "formula": "TmCu2Cl6",
  "functional": "GGA-PBE",
  "state": "relaxed",
  "lattice_angstrom": [[6.575, -0.379, -0.366], [1.436, 8.806, 0.513], [1.436, 0.798, 8.785]],
  "species": ["Cu", "Cu", "Cu", "Cu", "Cl", "Cl", "Cl", "Cl", "Cl", "Cl", "Cl", "Cl", "Cl", "Cl", "Cl", "Cl", "Tm", "Tm"],
  "fractional_positions": [[0.777, 0.455, 0.303], [0.277, 0.303, 0.455], [0.723, 0.697, 0.545], [0.223, 0.545, 0.697], [0.387, 0.713, 0.538], [0.367, 0.370, 0.871], [0.867, 0.871, 0.370], [0.633, 0.630, 0.129], [0.104, 0.824, 0.960], [0.887, 0.538, 0.713], [0.613, 0.287, 0.462], [0.133, 0.129, 0.630], [0.113, 0.462, 0.287], [0.396, 0.040, 0.176], [0.896, 0.176, 0.040], [0.604, 0.960, 0.824], [0.250, 0.095, 0.905], [0.750, 0.905, 0.095]],
  "raw_formation_energy_ev_per_atom": -1.266
}

***

No. 11
{
  "formula": "TmCu3Cl9",
  "functional": "GGA-PBE",
  "state": "relaxed",
  "lattice_angstrom": [[-1.817, 8.610, -1.218], [-9.337, 2.417, -1.386], [-3.197, 5.174, 8.945]],
  "species": ["Cl", "Cl", "Cl", "Cl", "Cl", "Cl", "Cl", "Cl", "Cl", "Cl", "Cl", "Cl", "Cl", "Cl", "Cl", "Cl", "Cl", "Cl", "Cu", "Cu", "Cu", "Cu", "Cu", "Cu", "Tm", "Tm"],
  "fractional_positions": [[0.169, 0.079, 0.700], [0.842, 0.062, 0.025], [0.716, 0.415, 0.602], [0.937, 0.280, 0.199], [0.267, 0.915, 0.102], [0.774, 0.013, 0.743], [0.343, 0.192, 0.318], [0.052, 0.579, 0.200], [0.071, 0.562, 0.525], [0.889, 0.430, 0.866], [0.356, 0.300, 0.930], [0.414, 0.800, 0.430], [0.475, 0.242, 0.564], [0.148, 0.692, 0.818], [0.470, 0.513, 0.243], [0.583, 0.780, 0.699], [0.720, 0.742, 0.064], [0.814, 0.930, 0.366], [0.231, 0.449, 0.332], [0.450, 0.756, 0.221], [0.969, 0.045, 0.173], [0.573, 0.256, 0.721], [0.813, 0.545, 0.673], [0.987, 0.949, 0.832], [0.477, 0.994, 0.505], [0.023, 0.494, 0.005]],
  "raw_formation_energy_ev_per_atom": -0.953
}

***

No. 12
{
  "formula": "UCuCl6",
  "functional": "GGA-PBE",
  "state": "relaxed",
  "lattice_angstrom": [[6.180, -1.427, -1.688], [-3.279, 5.886, -2.142], [0.593, 0.724, 6.901]],
  "species": ["Cl", "Cl", "Cl", "Cl", "Cl", "Cl", "Cu", "U"],
  "fractional_positions": [[0.855, 0.091, 0.712], [0.546, 0.274, 0.000], [0.143, 0.380, 0.288], [0.857, 0.620, 0.712], [0.454, 0.726, 0.000], [0.145, 0.909, 0.288], [0.000, 0.000, 0.000], [0.000, 0.500, 0.000]],
  "raw_formation_energy_ev_per_atom": -1.326,
  "relative_energy_ev_per_atom": 0.000
}

***

Number 1: VASP energy -61.20 eV for the cell shown, total magnetization 1.05 μB per formula unit. Number 2: VASP energy -42.55 eV for the cell shown, total magnetization 0.07 μB per formula unit. Number 3: VASP energy -59.54 eV for the cell shown, total magnetization 0.19 μB per formula unit. Number 4: VASP energy -47.37 eV for the cell shown, total magnetization 1.06 μB per formula unit. Number 5: VASP energy -75.52 eV for the cell shown, total magnetization 0.12 μB per formula unit. Number 6: VASP energy -50.30 eV for the cell shown, total magnetization 0.04 μB per formula unit. Number 7: VASP energy -70.25 eV for the cell shown, total magnetization 0.99 μB per formula unit. Number 8: VASP energy -38.30 eV for the cell shown, total magnetization 0.00 μB per formula unit. Number 9: VASP energy -51.48 eV for the cell shown, total magnetization 0.20 μB per formula unit. Number 10: VASP energy -70.27 eV for the cell shown, total magnetization 1.00 μB per formula unit. Number 11: VASP energy -91.55 eV for the cell shown, total magnetization 3.13 μB per formula unit. Number 12: VASP energy -37.07 eV for the cell shown, total magnetization 0.97 μB per formula unit.